Entry 1:
This record from Alexandria describes Ba2In5As5 after structural relaxation. The functional is PBE.

a b c (Å): 4.3677 17.8186 18.2790
angles (deg): 90.00 90.00 90.00
Last column: nearest neighbours and their distance in Å.
Atoms (fractional coordinates):
As 0.2500 0.5817 0.4416  3 In 2.75
As 0.2500 0.1029 0.6913  3 In 2.72
As 0.7500 0.6947 0.6252  4 In 2.75-2.86
As 0.7500 0.8971 0.3087  3 In 2.72
As 0.7500 0.9183 0.9416  3 In 2.75
As 0.7500 0.1059 0.2650  3 In 2.74
As 0.2500 0.8858 0.5118  3 In 2.73-2.74
As 0.2500 0.3941 0.7650  3 In 2.74
As 0.7500 0.6142 0.0118  3 In 2.73-2.74
As 0.7500 0.4183 0.5584  3 In 2.75
As 0.2500 0.8053 0.1252  4 In 2.75-2.86
As 0.2500 0.6029 0.8087  3 In 2.72
As 0.2500 0.3053 0.3748  4 In 2.75-2.86
As 0.7500 0.1142 0.4882  3 In 2.73-2.74
As 0.2500 0.3858 0.9882  3 In 2.73-2.74
As 0.2500 0.0817 0.0584  3 In 2.75
As 0.2500 0.8941 0.7350  3 In 2.74
As 0.7500 0.6059 0.2350  3 In 2.74
As 0.7500 0.3971 0.1913  3 In 2.72
As 0.7500 0.1947 0.8748  4 In 2.75-2.86
Ba 0.7500 0.9797 0.6204  7 As 3.36-3.40
Ba 0.2500 0.0203 0.3796  7 As 3.36-3.40
Ba 0.7500 0.4797 0.8796  7 As 3.36-3.40
Ba 0.2500 0.0431 0.8705  7 As 3.38-3.63
Ba 0.7500 0.9569 0.1295  7 As 3.38-3.63
Ba 0.2500 0.5203 0.1204  7 As 3.36-3.40
Ba 0.7500 0.4569 0.3705  7 As 3.38-3.63
Ba 0.2500 0.5431 0.6295  7 As 3.38-3.63
In 0.7500 0.2118 0.3734  4 As 2.73-2.75
In 0.2500 0.6723 0.9413  3 As 2.72-2.74, 1 In 2.85
In 0.7500 0.3277 0.0587  3 As 2.72-2.74, 1 In 2.85
In 0.7500 0.8277 0.4413  3 As 2.72-2.74, 1 In 2.85
In 0.7500 0.3433 0.6897  3 As 2.74-2.75, 1 In 2.82
In 0.2500 0.3291 0.5292  3 As 2.75-2.86, 1 In 2.85
In 0.7500 0.8433 0.8103  3 As 2.74-2.75, 1 In 2.82
In 0.2500 0.8291 0.9708  3 As 2.75-2.86, 1 In 2.85
In 0.2500 0.6567 0.3103  3 As 2.74-2.75, 1 In 2.82
In 0.7500 0.7118 0.1267  4 As 2.73-2.75
In 0.2500 0.1723 0.5587  3 As 2.72-2.74, 1 In 2.85
In 0.2500 0.2882 0.8734  4 As 2.73-2.75
In 0.2500 0.1567 0.1897  3 As 2.74-2.75, 1 In 2.82
In 0.7500 0.6709 0.4708  3 As 2.75-2.86, 1 In 2.85
In 0.7500 0.1884 0.7213  3 As 2.72-2.81, 1 In 2.82
In 0.7500 0.6884 0.7787  3 As 2.72-2.81, 1 In 2.82
In 0.2500 0.7882 0.6266  4 As 2.73-2.75
In 0.2500 0.8116 0.2787  3 As 2.72-2.81, 1 In 2.82
In 0.7500 0.1709 0.0292  3 As 2.75-2.86, 1 In 2.85
In 0.2500 0.3116 0.2213  3 As 2.72-2.81, 1 In 2.82

Values from the calculation:
Energy of formation from the pure elements   -6.540 eV/f.u.
D(E_F)   0.58 states/eV/f.u.

=====

Entry 2:
This record from Alexandria describes Ba2InAs after structural relaxation. The functional is PBE.

a b c (Å): 6.7630 6.7630 4.5829
angles (deg): 90.00 90.00 44.74
Last column: nearest neighbours and their distance in Å.
Atoms (fractional coordinates):
As 0.7000 0.7000 0.8750  2 In 2.91
Ba 0.9824 0.9824 0.8751  3 As 3.53-3.75, 4 In 3.57
Ba 0.2614 0.2614 0.3748  4 As 3.53, 3 In 3.64-3.69
In 0.5562 0.5562 0.3751  2 As 2.91

Values from the calculation:
Energy of formation from the pure elements   -2.881 eV/f.u.
D(E_F)   2.11 states/eV/f.u.

=====

Entry 3:
This record from Alexandria describes Ba2InAs after structural relaxation. The functional is PBE.

a b c (Å): 4.2506 4.2446 8.9279
angles (deg): 61.60 90.00 90.00
Last column: nearest neighbours and their distance in Å.
Atoms (fractional coordinates):
As 0.5000 0.7500 0.7500  8 Ba 3.45
Ba 0.0000 0.0338 0.9667  1 Ba 3.40, 4 As 3.45, 4 In 3.74
Ba 0.0000 0.4662 0.5333  1 Ba 3.40, 4 As 3.45, 4 In 3.74
In 0.5000 0.2500 0.2500  8 Ba 3.74, 2 As 3.93

Values from the calculation:
Energy of formation from the pure elements   -2.723 eV/f.u.
D(E_F)   1.74 states/eV/f.u.

=====

Entry 4:
This record from Alexandria describes Ba2InAs after structural relaxation. The functional is PBE.

a b c (Å): 4.6921 4.6921 9.5563
angles (deg): 75.90 75.90 59.93
Last column: nearest neighbours and their distance in Å.
Atoms (fractional coordinates):
As 0.7500 0.7500 0.7500  6 Ba 3.25
Ba 0.0185 0.0185 0.9454  3 As 3.25
Ba 0.4815 0.4815 0.5546  3 As 3.25
In 0.2500 0.2500 0.2500  6 Ba 3.89

Values from the calculation:
Energy of formation from the pure elements   -2.376 eV/f.u.
D(E_F)   3.90 states/eV/f.u.